(1)
Compound: Ga5Co3
Source: Alexandria
Functional: GGA-PBE
Structure: relaxed

## Properties
symmetry = No. 123
formation energy = -121.5 meV per atom

a b c (Å): 2.774 2.774 14.081
angles (deg): 90.00 90.00 90.00
Sites, in units of the cell vectors:
Ga 0.000 0.000 0.000
Ga 0.000 0.000 0.220
Ga 0.000 0.000 0.780
Ga 0.500 0.500 0.389
Ga 0.500 0.500 0.611
Co 0.000 0.000 0.500
Co 0.500 0.500 0.110
Co 0.500 0.500 0.890

---

(2)
Compound: LaTeOs2
Source: Alexandria
Functional: GGA-PBE
Structure: relaxed

## Properties
symmetry = No. 166
formation energy without anion corrections = 0.8568 eV per atom

a b c (Å): 3.363 3.363 25.685
angles (deg): 90.00 90.00 120.00
Sites, in units of the cell vectors:
La 0.000 0.000 0.000
La 0.333 0.667 0.667
La 0.667 0.333 0.333
Te 0.000 0.000 0.500
Te 0.333 0.667 0.167
Te 0.667 0.333 0.833
Os 0.000 0.000 0.243
Os 0.000 0.000 0.757
Os 0.333 0.667 0.424
Os 0.333 0.667 0.910
Os 0.667 0.333 0.090
Os 0.667 0.333 0.576

---

(3)
Compound: Dy2CdInAu4
Source: Alexandria
Functional: GGA-PBE
Structure: relaxed

## Properties
symmetry = No. 166
formation energy = -690.5 meV per atom

a b c (Å): 8.542 8.542 8.542
angles (deg): 33.64 33.64 33.64
Sites, in units of the cell vectors:
Dy 0.250 0.250 0.250
Dy 0.750 0.750 0.750
Cd 0.000 0.000 0.000
In 0.500 0.500 0.500
Au 0.125 0.125 0.125
Au 0.375 0.375 0.375
Au 0.625 0.625 0.625
Au 0.875 0.875 0.875

---

(4)
Compound: KSiTc
Source: Alexandria
Functional: GGA-PBE
Structure: relaxed

## Properties
symmetry = No. 156
formation energy without anion corrections = 0.5500 eV per atom

a b c (Å): 3.037 3.037 7.476
angles (deg): 90.00 90.00 120.00
Sites, in units of the cell vectors:
K 0.000 0.000 0.000
Si 0.667 0.333 0.379
Tc 0.333 0.667 0.607

---

(5)
Compound: CoTc2Ru
Source: Alexandria
Functional: GGA-PBE
Structure: relaxed

## Properties
symmetry = No. 160
formation energy = 132.7 meV per atom

a b c (Å): 2.689 2.689 25.972
angles (deg): 90.00 90.00 120.00
Sites, in units of the cell vectors:
Co 0.000 0.000 0.000
Co 0.333 0.667 0.667
Co 0.667 0.333 0.333
Tc 0.000 0.000 0.253
Tc 0.000 0.000 0.499
Tc 0.333 0.667 0.166
Tc 0.333 0.667 0.920
Tc 0.667 0.333 0.587
Tc 0.667 0.333 0.833
Ru 0.000 0.000 0.747
Ru 0.333 0.667 0.414
Ru 0.667 0.333 0.080

---

(6)
Compound: Ta6Cr3Ni3C2
Source: Alexandria
Functional: GGA-PBE
Structure: relaxed

## Properties
symmetry = No. 44
formation energy = -337.0 meV per atom

a b c (Å): 8.088 8.088 8.088
angles (deg): 120.35 119.85 89.83
Sites, in units of the cell vectors:
Ta 0.000 0.000 0.000
Ta 0.246 0.135 0.500
Ta 0.246 0.746 0.111
Ta 0.249 0.749 0.500
Ta 0.384 0.000 0.001
Ta 0.384 0.383 0.384
Ta 0.384 0.384 0.000
Ta 0.635 0.135 0.889
Ta 0.635 0.746 0.500
Ta 0.638 0.138 0.500
Ta 0.999 0.000 0.616
Ta 0.999 0.383 0.999
Cr 0.021 0.368 0.653
Cr 0.321 0.569 0.752
Cr 0.715 0.368 0.347
Cr 0.814 0.068 0.254
Cr 0.814 0.561 0.746
Cr 0.817 0.569 0.248
Ni 0.023 0.365 0.342
Ni 0.023 0.681 0.658
Ni 0.611 0.453 0.842
Ni 0.611 0.770 0.158
Ni 0.614 0.770 0.844
Ni 0.927 0.770 0.156
C 0.316 0.066 0.249
C 0.316 0.066 0.750
C 0.316 0.566 0.250
C 0.817 0.066 0.751

---

(7)
Compound: TcP2Pt
Source: Alexandria
Functional: GGA-PBE
Structure: relaxed

## Properties
symmetry = No. 99
formation energy = -35.3 meV per atom

a b c (Å): 2.972 2.972 7.521
angles (deg): 90.00 90.00 90.00
Sites, in units of the cell vectors:
Tc 0.000 0.000 0.000
P 0.000 0.000 0.555
P 0.500 0.500 0.162
Pt 0.500 0.500 0.728

---

(8)
Compound: Pr4Te5S
Source: Alexandria
Functional: GGA-PBE
Structure: relaxed

## Properties
symmetry = No. 12
formation energy without anion corrections = -1.4232 eV per atom

a b c (Å): 10.037 10.037 8.836
angles (deg): 104.01 104.01 25.56
Sites, in units of the cell vectors:
Pr 0.002 0.002 0.244
Pr 0.331 0.331 0.901
Pr 0.669 0.669 0.099
Pr 0.998 0.998 0.756
Te 0.163 0.163 0.342
Te 0.165 0.165 0.834
Te 0.500 0.500 0.500
Te 0.835 0.835 0.166
Te 0.837 0.837 0.658
S 0.500 0.500 0.000

---

(9)
Compound: Pm2RhS
Source: Alexandria
Functional: GGA-PBE
Structure: relaxed

## Properties
symmetry = No. 63
formation energy without anion corrections = -1.3546 eV per atom

a b c (Å): 3.964 22.972 4.101
angles (deg): 90.00 90.00 90.00
Sites, in units of the cell vectors:
Pm 0.000 0.066 0.250
Pm 0.000 0.317 0.250
Pm 0.000 0.683 0.750
Pm 0.000 0.934 0.750
Pm 0.500 0.183 0.750
Pm 0.500 0.434 0.750
Pm 0.500 0.566 0.250
Pm 0.500 0.817 0.250
Rh 0.000 0.457 0.250
Rh 0.000 0.543 0.750
Rh 0.500 0.043 0.750
Rh 0.500 0.957 0.250
S 0.000 0.191 0.250
S 0.000 0.809 0.750
S 0.500 0.309 0.750
S 0.500 0.691 0.250

---

(10)
Compound: CeDyScCd
Source: Alexandria
Functional: GGA-PBE
Structure: relaxed

## Properties
symmetry = No. 216
formation energy = -4.5 meV per atom

a b c (Å): 7.575 7.575 7.575
angles (deg): 90.00 90.00 90.00
Sites, in units of the cell vectors:
Ce 0.000 0.000 0.000
Ce 0.000 0.500 0.500
Ce 0.500 0.000 0.500
Ce 0.500 0.500 0.000
Dy 0.000 0.000 0.500
Dy 0.000 0.500 0.000
Dy 0.500 0.000 0.000
Dy 0.500 0.500 0.500
Sc 0.250 0.250 0.750
Sc 0.250 0.750 0.250
Sc 0.750 0.250 0.250
Sc 0.750 0.750 0.750
Cd 0.250 0.250 0.250
Cd 0.250 0.750 0.750
Cd 0.750 0.250 0.750
Cd 0.750 0.750 0.250

---

(11)
Compound: MnVCl3
Source: Alexandria
Functional: GGA-PBE
Structure: relaxed

## Properties
symmetry = No. 221
formation energy without anion corrections = -0.2047 eV per atom

a b c (Å): 4.929 4.929 4.929
angles (deg): 90.00 90.00 90.00
Sites, in units of the cell vectors:
Mn 0.000 0.000 0.000
V 0.500 0.500 0.500
Cl 0.000 0.000 0.500
Cl 0.000 0.500 0.000
Cl 0.500 0.000 0.000

---

(12)
Compound: K2RhAu
Source: Alexandria
Functional: GGA-PBE
Structure: relaxed

## Properties
symmetry = No. 119
formation energy = 423.1 meV per atom

a b c (Å): 5.172 5.172 7.331
angles (deg): 90.00 90.00 90.00
Sites, in units of the cell vectors:
K 0.000 0.000 0.000
K 0.000 0.500 0.250
K 0.500 0.000 0.750
K 0.500 0.500 0.500
Rh 0.000 0.500 0.750
Rh 0.500 0.000 0.250
Au 0.000 0.000 0.500
Au 0.500 0.500 0.000

---

(13)
Compound: CrCd3P
Source: Alexandria
Functional: GGA-PBE
Structure: relaxed

## Properties
symmetry = No. 221
formation energy = 1042.7 meV per atom

a b c (Å): 5.262 5.262 5.262
angles (deg): 90.00 90.00 90.00
Sites, in units of the cell vectors:
Cr 0.000 0.000 0.000
Cd 0.000 0.000 0.500
Cd 0.000 0.500 0.000
Cd 0.500 0.000 0.000
P 0.500 0.500 0.500

---

(14)
Compound: Na2SbRu
Source: Alexandria
Functional: GGA-PBE
Structure: relaxed

## Properties
symmetry = No. 122
formation energy without anion corrections = 0.3627 eV per atom

a b c (Å): 3.902 3.902 22.173
angles (deg): 90.00 90.00 90.00
Sites, in units of the cell vectors:
Na 0.241 0.250 0.125
Na 0.250 0.741 0.375
Na 0.250 0.759 0.875
Na 0.259 0.250 0.625
Na 0.741 0.750 0.625
Na 0.750 0.241 0.875
Na 0.750 0.259 0.375
Na 0.759 0.750 0.125
Sb 0.000 0.000 0.500
Sb 0.000 0.500 0.750
Sb 0.500 0.000 0.250
Sb 0.500 0.500 0.000
Ru 0.000 0.000 0.000
Ru 0.000 0.500 0.250
Ru 0.500 0.000 0.750
Ru 0.500 0.500 0.500

---

(15)
Compound: PaAl2InO8
Source: Alexandria
Functional: GGA-PBE
Structure: relaxed

## Properties
symmetry = No. 164
formation energy without anion corrections = -2.1697 eV per atom

a b c (Å): 5.700 5.700 6.266
angles (deg): 90.00 90.00 120.00
Sites, in units of the cell vectors:
Pa 0.000 0.000 0.000
Al 0.333 0.667 0.808
Al 0.667 0.333 0.192
In 0.000 0.000 0.500
O 0.159 0.317 0.746
O 0.159 0.841 0.746
O 0.317 0.159 0.254
O 0.333 0.667 0.093
O 0.667 0.333 0.907
O 0.683 0.841 0.746
O 0.841 0.159 0.254
O 0.841 0.683 0.254

---

(16)
Compound: PmHI3
Source: Alexandria
Functional: GGA-PBE
Structure: relaxed

## Properties
symmetry = No. 166
DFT total energy = -3.213 eV/atom

a b c (Å): 9.305 9.305 9.305
angles (deg): 53.03 53.03 53.03
Sites, in units of the cell vectors:
Pm 0.166 0.166 0.166
Pm 0.834 0.834 0.834
H 0.415 0.415 0.415
H 0.585 0.585 0.585
I 0.084 0.084 0.583
I 0.084 0.583 0.084
I 0.417 0.916 0.916
I 0.583 0.084 0.084
I 0.916 0.417 0.916
I 0.916 0.916 0.417

---

(17)
Compound: Rb3Np3NiSe8
Source: Alexandria
Functional: GGA-PBE
Structure: relaxed

## Properties
symmetry = No. 166
formation energy without anion corrections = -1.0033 eV per atom

a b c (Å): 9.439 9.439 9.439
angles (deg): 51.68 51.68 51.68
Sites, in units of the cell vectors:
Rb 0.000 0.500 0.500
Rb 0.500 0.000 0.500
Rb 0.500 0.500 0.000
Np 0.000 0.000 0.500
Np 0.000 0.500 0.000
Np 0.500 0.000 0.000
Ni 0.500 0.500 0.500
Se 0.233 0.233 0.233
Se 0.245 0.717 0.717
Se 0.283 0.283 0.755
Se 0.283 0.755 0.283
Se 0.717 0.245 0.717
Se 0.717 0.717 0.245
Se 0.755 0.283 0.283
Se 0.767 0.767 0.767

---

(18)
Compound: Mg3FeSe
Source: Alexandria
Functional: GGA-PBE
Structure: relaxed

## Properties
symmetry = No. 221
formation energy without anion corrections = 0.4953 eV per atom

a b c (Å): 4.976 4.976 4.976
angles (deg): 90.00 90.00 90.00
Sites, in units of the cell vectors:
Mg 0.000 0.000 0.500
Mg 0.000 0.500 0.000
Mg 0.500 0.000 0.000
Fe 0.500 0.500 0.500
Se 0.000 0.000 0.000

---

(19)
Compound: LiNpSb
Source: Alexandria
Functional: GGA-PBE
Structure: relaxed

## Properties
symmetry = No. 187
formation energy without anion corrections = -0.2014 eV per atom

a b c (Å): 4.513 4.513 4.011
angles (deg): 90.00 90.00 120.00
Sites, in units of the cell vectors:
Li 0.000 0.000 0.000
Np 0.333 0.667 0.500
Sb 0.667 0.333 0.000

---

(20)
Compound: LiSmIn2Br6
Source: Alexandria
Functional: GGA-PBE
Structure: relaxed

## Properties
symmetry = No. 14
formation energy without anion corrections = -1.3127 eV per atom

a b c (Å): 7.592 7.962 13.172
angles (deg): 90.00 124.58 90.00
Sites, in units of the cell vectors:
Li 0.000 0.000 0.000
Li 0.000 0.500 0.500
Sm 0.500 0.000 0.500
Sm 0.500 0.500 0.000
In 0.220 0.079 0.743
In 0.220 0.421 0.243
In 0.780 0.579 0.757
In 0.780 0.921 0.257
Br 0.148 0.200 0.454
Br 0.148 0.300 0.954
Br 0.253 0.701 0.452
Br 0.253 0.799 0.952
Br 0.341 0.019 0.244
Br 0.341 0.481 0.744
Br 0.659 0.519 0.256
Br 0.659 0.981 0.756
Br 0.747 0.201 0.048
Br 0.747 0.299 0.548
Br 0.852 0.700 0.046
Br 0.852 0.800 0.546

---

| no. | M_tot (μB/atom) | DOS(E_F) (states/eV per cell) |
| --- | --- | --- |
| 1 | 0.000 | 5.4 |
| 2 | 0.000 | 6.3 |
| 3 | 0.000 | 3.9 |
| 4 | 0.000 | 0.6 |
| 5 | 0.165 | 13.1 |
| 6 | 0.000 | 24.6 |
| 7 | 0.000 | 2.8 |
| 8 | 0.000 | 2.1 |
| 9 | 0.000 | 7.6 |
| 10 | 0.387 | 30.5 |
| 11 | 0.200 | 9.4 |
| 12 | 0.017 | 13.2 |
| 13 | 0.588 | 2.3 |
| 14 | 0.000 | 17.2 |
| 15 | 0.167 | 7.3 |
| 16 | 0.200 | 0.0 |
| 17 | 0.774 | 32.2 |
| 18 | 0.522 | 35.1 |
| 19 | 1.667 | 8.3 |
| 20 | 0.000 | 0.0 |